No. 1
A relaxed structure of Tb2CdO2. Source: the Alexandria database, functional GGA-PBE.

```
Tb2CdO2
1.0
-2.0098 2.0098 6.0406
2.0098 -2.0098 6.0406
2.0098 2.0098 -6.0406
Tb Cd O
2 1 2
Cartesian
0.0000 0.0000 1.9525 Tb
0.0000 0.0000 10.1287 Tb
0.0000 0.0000 6.0406 Cd
2.0098 0.0000 3.0203 O
0.0000 2.0098 3.0203 O
```

Output
SG	I4/mmm
volume	19.52	Å³ per atom
uncorrected formation energy	-1170	kJ/mol of formula units
energy	-6.444	eV/atom

No. 2
A relaxed structure of Ba2Ag2Pd5Au. Source: the Alexandria database, functional GGA-PBE.

```
Ba2Ag2Pd5Au
1.0
10.2762 0.0000 0.0000
0.0000 10.2762 0.0000
0.0000 0.0000 4.0598
Ba Ag Pd Au
4 4 10 2
Cartesian
1.8272 3.3109 0.0000 Ba
3.3109 8.4490 0.0000 Ba
6.9652 1.8272 0.0000 Ba
8.4490 6.9652 0.0000 Ba
1.2609 6.3990 0.0000 Ag
3.8772 1.2609 0.0000 Ag
6.3990 9.0152 0.0000 Ag
9.0152 3.8772 0.0000 Ag
0.0000 5.1381 2.0299 Pd
0.5543 8.2599 2.0299 Pd
2.0163 0.5543 2.0299 Pd
3.1218 5.6924 2.0299 Pd
4.5838 3.1218 2.0299 Pd
5.1381 0.0000 2.0299 Pd
5.6924 7.1544 2.0299 Pd
7.1544 4.5838 2.0299 Pd
8.2599 9.7218 2.0299 Pd
9.7218 2.0163 2.0299 Pd
0.0000 0.0000 0.0000 Au
5.1381 5.1381 0.0000 Au
```

Output
SG	P4/mbm
volume	21.44	Å³ per atom
energy	-4.140	eV/atom
ΔH_f (0 K)	-0.261	eV/atom

No. 3
A relaxed structure of SmGdEr. Source: the Alexandria database, functional GGA-PBE.

```
SmGdEr
1.0
-1.6545 1.6545 9.3098
1.6545 -1.6545 9.3098
1.6545 1.6545 -9.3098
Sm Gd Er
1 1 1
Cartesian
0.0000 0.0000 0.0000 Sm
0.0000 0.0000 15.2665 Gd
0.0000 0.0000 3.3838 Er
```

Output
SG	I4mm
volume	33.98	Å³ per atom
energy	-7.362	eV/atom
ΔH_f (0 K)	0.426	eV/atom
relative energy among the computed polymorphs	405	meV/atom

No. 4
A relaxed structure of PrErRuPt. Source: the Alexandria database, functional GGA-PBE.

```
PrErRuPt
1.0
0.0000 3.5043 3.5043
3.5043 0.0000 3.5043
3.5043 3.5043 0.0000
Pr Er Ru Pt
1 1 1 1
Cartesian
0.0000 0.0000 0.0000 Pr
3.5043 3.5043 3.5043 Er
1.7522 1.7522 1.7522 Ru
5.2565 5.2565 5.2565 Pt
```

Output
SG	F-43m
volume	21.52	Å³ per atom
energy	-6.807	eV/atom
ΔH_f (0 K)	-0.643	eV/atom